Entry 1:
Below is a geometry-optimized KBaNbSe4 structure, with properties calculated at the PBE-GGA level.

Cell lengths 7.496, 7.268, 9.390 Å; angles 90.00, 107.01, 90.00 degrees
Fractional positions:
Se 0.998 0.011 0.248
Se 0.002 0.511 0.752
Ba 0.231 0.250 0.550
K 0.279 0.250 0.069
Nb 0.793 0.250 0.702
Ba 0.769 0.750 0.450
Se 0.588 0.250 0.858
Se 0.619 0.250 0.440
Se 0.002 0.989 0.752
Se 0.381 0.750 0.560
Se 0.998 0.489 0.248
Se 0.412 0.750 0.142
Nb 0.207 0.750 0.298
K 0.721 0.750 0.931

Output
- ΔE_f (raw): -1.297 eV per atom
- Magnetic moment: 0.00 μB per formula unit
- DFT total energy: -72.22 eV per cell
- Space group: P2_1/m, No. 11

***

Entry 2:
Below is a geometry-optimized PmPrCu structure, with properties calculated at the PBE-GGA level.

Cell lengths 3.836, 6.600, 7.255 Å; angles 74.65, 74.69, 73.12 degrees
Fractional positions:
Pm 0.217 0.632 0.811
Cu 0.691 0.401 0.094
Pr 0.969 0.578 0.362
Cu 0.928 0.257 0.764
Pm 0.402 0.026 0.048
Pr 0.650 0.080 0.497

Output
- ΔE_f: -0.280 eV per formula unit
- Magnetic moment: 0.00 μB per formula unit
- Polymorph energy (0 for the lowest one): 0.003 eV/atom
- DFT total energy: -27.81 eV per cell
- Space group: C2/m, No. 12

***

Entry 3:
Below is a geometry-optimized YSnPd6 structure, with properties calculated at the PBE-GGA level.

Cell lengths 4.106, 4.106, 8.102 Å; angles 90.00, 90.00, 90.00 degrees
Fractional positions:
Pd 0.500 0.000 0.259
Pd 0.000 0.500 0.741
Pd 0.500 0.000 0.741
Y 0.000 0.000 0.000
Sn 0.000 0.000 0.500
Pd 0.500 0.500 0.000
Pd 0.500 0.500 0.500
Pd 0.000 0.500 0.259

Output
- ΔE_f: -5.447 eV per formula unit
- Magnetic moment: 0.00 μB per formula unit
- Polymorph energy (0 for the lowest one): 0.000 eV/atom
- DFT total energy: -47.07 eV per cell
- Space group: P4/mmm, No. 123

***

Entry 4:
Below is a geometry-optimized NbCuS2 structure, with properties calculated at the PBE-GGA level.

Cell lengths 3.231, 3.769, 11.204 Å; angles 90.00, 98.29, 90.00 degrees
Fractional positions:
S 0.087 0.750 0.174
Nb 0.673 0.750 0.345
Cu 0.035 0.250 0.071
Cu 0.965 0.750 0.929
S 0.913 0.250 0.826
S 0.206 0.250 0.413
Nb 0.327 0.250 0.655
S 0.794 0.750 0.587

Output
- ΔE_f (raw): -0.511 eV per atom
- Magnetic moment: 0.00 μB per formula unit
- DFT total energy: -48.93 eV per cell
- Space group: Cmcm, No. 63

***

Entry 5:
Below is a geometry-optimized Dy4TlIn structure, with properties calculated at the PBE-GGA level.

Cell lengths 3.511, 9.182, 5.613 Å; angles 90.00, 90.00, 90.00 degrees
Fractional positions:
Dy 0.500 0.695 0.000
Dy 0.000 0.802 0.500
In 0.500 0.500 0.500
Dy 0.000 0.198 0.500
Dy 0.500 0.305 0.000
Tl 0.000 0.000 0.000

Output
- ΔE_f: -0.274 eV per formula unit
- Magnetic moment: 0.00 μB per formula unit
- Polymorph energy (0 for the lowest one): 0.020 eV/atom
- DFT total energy: -23.79 eV per cell
- Space group: Pmmm, No. 47

***

Entry 6:
Below is a geometry-optimized V2GeRu structure, with properties calculated at the PBE-GGA level.

Cell lengths 2.783, 2.783, 8.580 Å; angles 80.67, 80.67, 60.00 degrees
Fractional positions:
Ge 0.500 0.500 0.500
Ru 0.000 0.000 0.000
V 0.749 0.749 0.754
V 0.251 0.251 0.246

Output
- ΔE_f: -0.062 eV per formula unit
- Magnetic moment: 0.00 μB per formula unit
- DFT total energy: -32.19 eV per cell
- Space group: R-3m, No. 166

***

Entry 7:
Below is a geometry-optimized SrLi2W structure, with properties calculated at the PBE-GGA level.

Cell lengths 11.064, 11.064, 11.064 Å; angles 15.54, 15.54, 15.54 degrees
Last column: magnetic moment on the atom in μB.
Fractional positions:
Sr 0.250 0.250 0.250  0.18
W 0.750 0.750 0.750  0.35
Li 0.488 0.488 0.488  0.02
Li 0.012 0.012 0.012  0.02

Output
- ΔE_f: 3.798 eV per formula unit
- Magnetic moment: 1.11 μB per formula unit
- Polymorph energy (0 for the lowest one): 0.222 eV/atom
- DFT total energy: -14.66 eV per cell
- Space group: R-3m, No. 166

***

Entry 8:
Below is a geometry-optimized SiI4 structure, with properties calculated at the PBE-GGA level.

Cell lengths 7.141, 7.141, 7.478 Å; angles 118.52, 118.52, 90.00 degrees
Fractional positions:
I 0.672 0.069 0.742
I 0.931 0.931 0.258
I 0.069 0.672 0.742
I 0.328 0.328 0.258
Si 0.000 0.000 0.000

Output
- ΔE_f (raw): -0.355 eV per atom
- Magnetic moment: 0.00 μB per formula unit
- DFT total energy: -13.40 eV per cell
- Space group: I-42m, No. 121

***

Entry 9:
Below is a geometry-optimized Er2Cd2Rh structure, with properties calculated at the PBE-GGA level.

Cell lengths 3.389, 3.389, 10.117 Å; angles 99.64, 99.64, 90.00 degrees
Fractional positions:
Er 0.585 0.585 0.171
Rh 0.000 0.000 0.000
Er 0.415 0.415 0.829
Cd 0.201 0.201 0.403
Cd 0.799 0.799 0.597

Output
- ΔE_f: -2.682 eV per formula unit
- Magnetic moment: 0.00 μB per formula unit
- DFT total energy: -20.99 eV per cell
- Space group: I4/mmm, No. 139

***

Entry 10:
Below is a geometry-optimized SrZnPb2 structure, with properties calculated at the PBE-GGA level.

Cell lengths 6.288, 6.288, 6.288 Å; angles 137.11, 134.42, 64.37 degrees
Fractional positions:
Zn 0.233 0.733 0.500
Pb 0.749 0.249 0.500
Sr 0.475 0.475 0.000
Pb 0.043 0.043 0.000

Output
- ΔE_f: -0.742 eV per formula unit
- Magnetic moment: 0.00 μB per formula unit
- DFT total energy: -11.11 eV per cell
- Space group: Imm2, No. 44

***

Entry 11:
Below is a geometry-optimized Rb3HSe structure, with properties calculated at the PBE-GGA level.

Cell lengths 5.581, 9.126, 9.527 Å; angles 112.88, 72.98, 119.72 degrees
Fractional positions:
Rb 0.854 0.040 0.057
Se 0.560 0.270 0.038
Rb 0.691 0.333 0.684
H 0.769 0.723 0.824
Rb 0.739 0.611 0.387
Rb 0.190 0.114 0.365
H 0.275 0.431 0.598
Se 0.484 0.884 0.384
Rb 0.305 0.543 0.034
Rb 0.353 0.821 0.738

Output
- Magnetic moment: 0.00 μB per formula unit
- Polymorph energy (0 for the lowest one): 0.000 eV/atom
- DFT total energy: -25.94 eV per cell
- Space group: P-1, No. 2

***

Entry 12:
Below is a geometry-optimized Rb3YBr6 structure, with properties calculated at the PBE-GGA level.

Cell lengths 8.165, 8.663, 11.641 Å; angles 90.00, 88.91, 90.00 degrees
Fractional positions:
Rb 0.000 0.000 0.500
Br 0.664 0.230 0.573
Br 0.626 0.449 0.276
Rb 0.029 0.575 0.256
Br 0.836 0.730 0.927
Br 0.777 0.677 0.554
Br 0.336 0.770 0.427
Rb 0.471 0.075 0.244
Br 0.277 0.823 0.054
Br 0.723 0.177 0.946
Y 0.500 0.500 0.500
Rb 0.500 0.500 0.000
Br 0.126 0.051 0.776
Br 0.164 0.270 0.073
Rb 0.529 0.925 0.756
Br 0.374 0.551 0.724
Rb 0.971 0.425 0.744
Y 0.000 0.000 0.000
Br 0.223 0.323 0.446
Br 0.874 0.949 0.224

Output
- ΔE_f (raw): -1.841 eV per atom
- Magnetic moment: 0.00 μB per formula unit
- DFT total energy: -75.62 eV per cell
- Space group: P2_1/c, No. 14